# 1
The following is a DFT calculation (PBE) of a relaxed structure of LaPmPu.

abc: 5.245 5.245 5.245
angles: 60.00 60.00 60.00
Fractional positions:
Pu 0.750 0.750 0.750
Pm 0.250 0.250 0.250
La 0.000 0.000 0.000

Calculated values
ΔE_f (meV per atom): 714
Raw total energy (eV/atom): -7.22
Magnetization (μB per atom): 2.25
Volume (Å³/f.u.): 102.0

---

# 2
The following is a DFT calculation (PBE) of a relaxed structure of LaPmSb2.

abc: 4.560 4.560 6.446
angles: 90.00 90.00 90.00
Fractional positions:
Sb 0.000 0.000 0.500
La 0.000 0.000 0.000
Sb 0.500 0.500 0.000
Pm 0.500 0.500 0.500

Calculated values
Raw total energy (eV/atom): -5.70
Magnetization (μB per atom): 0.00
Volume (Å³/f.u.): 134.1

---

# 3
The following is a DFT calculation (PBE) of a relaxed structure of LaPmSb.

abc: 5.282 5.282 5.282
angles: 60.00 60.00 60.00
Fractional positions:
Pm 0.500 0.500 0.500
Sb 0.250 0.250 0.250
La 0.000 0.000 0.000

Calculated values
Raw total energy (eV/atom): -5.28
Distance to the lowest polymorph of the same formula (meV per atom): 0
Magnetization (μB per atom): 0.01
Volume (Å³/f.u.): 104.2

---

# 4
The following is a DFT calculation (PBE) of a relaxed structure of LaPmSe2.

abc: 4.253 4.253 6.011
angles: 90.00 90.00 90.00
Fractional positions:
Se 0.500 0.500 0.000
Pm 0.500 0.500 0.500
La 0.000 0.000 0.000
Se 0.000 0.000 0.500

Calculated values
Raw total energy (eV/atom): -6.07
Distance to the lowest polymorph of the same formula (meV per atom): 10
Magnetization (μB per atom): 0.00
Volume (Å³/f.u.): 108.7

---

# 5
The following is a DFT calculation (PBE) of a relaxed structure of LaPmSi.

abc: 5.054 5.054 5.054
angles: 60.00 60.00 60.00
Fractional positions:
La 0.250 0.250 0.250
Si 0.000 0.000 0.000
Pm 0.750 0.750 0.750

Calculated values
Raw total energy (eV/atom): -5.49
Distance to the lowest polymorph of the same formula (meV per atom): 0
Magnetization (μB per atom): 0.00
Volume (Å³/f.u.): 91.3

---

# 6
The following is a DFT calculation (PBE) of a relaxed structure of LaPmSm.

abc: 5.583 5.583 5.583
angles: 60.00 60.00 60.00
Fractional positions:
Pm 0.750 0.750 0.750
Sm 0.000 0.000 0.000
La 0.250 0.250 0.250

Calculated values
ΔE_f (meV per atom): 674
Raw total energy (eV/atom): -4.12
Distance to the lowest polymorph of the same formula (meV per atom): 0
Magnetization (μB per atom): 0.00
Volume (Å³/f.u.): 123.0

---

# 7
The following is a DFT calculation (PBE) of a relaxed structure of La2PmSn.

abc: 4.949 4.949 5.078
angles: 90.00 90.00 90.00
Fractional positions:
La 0.000 0.500 0.500
Pm 0.000 0.000 0.000
La 0.500 0.000 0.500
Sn 0.500 0.500 0.000

Calculated values
Raw total energy (eV/atom): -5.12
Magnetization (μB per atom): 0.01
Volume (Å³/f.u.): 124.4

---

# 8
The following is a DFT calculation (PBE) of a relaxed structure of SrLaPm.

abc: 5.855 5.855 5.855
angles: 60.00 60.00 60.00
Fractional positions:
La 0.250 0.250 0.250
Sr 0.750 0.750 0.750
Pm 0.000 0.000 0.000

Calculated values
Raw total energy (eV/atom): -3.04
Distance to the lowest polymorph of the same formula (meV per atom): 0
Magnetization (μB per atom): 0.01
Volume (Å³/f.u.): 141.9

---

# 9
The following is a DFT calculation (PBE) of a relaxed structure of LaTbPm.

abc: 5.548 5.548 5.548
angles: 60.00 60.00 60.00
Fractional positions:
La 0.250 0.250 0.250
Tb 0.750 0.750 0.750
Pm 0.000 0.000 0.000

Calculated values
ΔE_f (meV per atom): 697
Raw total energy (eV/atom): -4.07
Distance to the lowest polymorph of the same formula (meV per atom): 0
Magnetization (μB per atom): 0.00
Volume (Å³/f.u.): 120.7

---

# 10
The following is a DFT calculation (PBE) of a relaxed structure of LaPmTc.

abc: 4.858 4.858 4.858
angles: 60.00 60.00 60.00
Fractional positions:
Pm 0.000 0.000 0.000
La 0.250 0.250 0.250
Tc 0.750 0.750 0.750

Calculated values
ΔE_f (meV per atom): 830
Raw total energy (eV/atom): -5.85
Distance to the lowest polymorph of the same formula (meV per atom): 0
Magnetization (μB per atom): 0.13
Volume (Å³/f.u.): 81.1

---

# 11
The following is a DFT calculation (PBE) of a relaxed structure of LaPmTm.

abc: 5.522 5.522 5.522
angles: 60.00 60.00 60.00
Fractional positions:
La 0.250 0.250 0.250
Tm 0.000 0.000 0.000
Pm 0.750 0.750 0.750

Calculated values
ΔE_f (meV per atom): 661
Raw total energy (eV/atom): -4.05
Distance to the lowest polymorph of the same formula (meV per atom): 0
Magnetization (μB per atom): 0.00
Volume (Å³/f.u.): 119.1

---

# 12
The following is a DFT calculation (PBE) of a relaxed structure of LaPmU.

abc: 5.165 5.165 5.165
angles: 60.00 60.00 60.00
Fractional positions:
Pm 0.250 0.250 0.250
U 0.750 0.750 0.750
La 0.000 0.000 0.000

Calculated values
ΔE_f (meV per atom): 1175
Raw total energy (eV/atom): -5.81
Distance to the lowest polymorph of the same formula (meV per atom): 0
Magnetization (μB per atom): 1.38
Volume (Å³/f.u.): 97.4